VASP calculation (GGA+U) on a relaxed structure of Na2ScMnF6.

The value obtained for the density of states at the Fermi level is 8.53 states/eV per cell. As for the electronic total energy: -5.656 eV/atom.

It has space group R3 (No. 146, hexagonal axes), with a = 5.8495 Å, b = 5.8495 Å, c = 14.0123 Å, α = 90.00°, β = 90.00° and γ = 120.00°. The distinct sites, in fractional coordinates, are Na at (0.0000, 0.0000, 0.0000), Na at (0.0000, 0.0000, 0.4932), Sc at (0.0000, 0.0000, 0.2291), Mn at (0.0000, 0.0000, 0.7241), F at (0.0655, 0.7045, 0.2889) and F at (0.0761, 0.3495, 0.8006).